PBE CaZr2ScCu, optimized geometry; crystal system = tetragonal; D(E_F) = 8.96 states/eV per cell; theoretical density = 3909 kg/m3; space-group type = P4/mmm, No. 123; total DFT energy (no corrections) = -23.46 eV/cell
1.0
-2.4582 -4.0789 -1.6047
-0.2414 -1.7110 4.7190
-4.8493 2.6431 0.7102
Sc Ca Cu Zr
1 1 1 2
direct
0.0000 0.0000 0.0000
0.0000 0.0000 0.5000
0.5000 0.5000 0.5000
0.0000 0.5000 0.0000
0.5000 0.0000 0.0000